Computed, not measured: crystalline Mg2CrPN at its relaxed geometry at the PBE level of DFT.

Values from the calculation:
formation energy without anion corrections: 1.1850 eV/atom

Cell: 5.189 5.189 4.302 Å, 90.00 90.00 90.00°
Space group P4/mmm (No. 123)
Inequivalent atoms, fractional coordinates:
Mg (0.000, 0.500, 0.000) (multiplicity 2)
Cr (0.000, 0.000, 0.000) (multiplicity 1)
P (0.000, 0.000, 0.500) (multiplicity 1)
N (0.500, 0.500, 0.500) (multiplicity 1)